AcPuNiN3: optimized geometry, PBE.

The calculation puts the density of states at the Fermi level at 12.17 states/eV/cell. As for the total energy: -0.6604 Ry per atom.

The space group is P2_1/m (No. 11) and the conventional cell measures 7.3245, 3.5284 and 7.4152 Å, with angles of 90.00, 103.89 and 90.00 degrees. The distinct sites, in fractional coordinates, are Ac at (0.1942, 0.2500, 0.2288), Pu at (0.3314, 0.7500, 0.8330), Ni at (0.0837, 0.2500, 0.5882), N at (0.1381, 0.2500, 0.8652), N at (0.1886, 0.7500, 0.5218) and N at (0.4421, 0.7500, 0.1404).